(1)
{
  "formula": "LaCePmHo",
  "functional": "PBE",
  "state": "relaxed",
  "spacegroup": "F-43m (216)",
  "delta_e_f_ev_per_atom": 0.20,
  "n_ef_per_ev_fu": 10.41,
  "lattice_angstrom": [[5.768, 0.000, 0.000], [2.884, 4.996, 0.000], [2.884, 1.665, 4.710]],
  "species": ["La", "Ce", "Pm", "Ho"],
  "frac_coords": [[0.250, 0.250, 0.250], [0.500, 0.500, 0.500], [0.750, 0.750, 0.750], [0.000, 0.000, 0.000]]
}

---

(2)
{
  "formula": "NdH6Pt",
  "functional": "PBE",
  "state": "relaxed",
  "spacegroup": "R-3m (166)",
  "n_ef_per_ev_fu": 1.95,
  "e_tot_ev_per_cell": -33.796,
  "lattice_angstrom": [[4.027, 0.000, 2.104], [1.464, 3.751, 2.104], [0.038, 0.026, 4.832]],
  "species": ["H", "H", "H", "H", "H", "H", "Pt", "Nd"],
  "frac_coords": [[0.101, 0.567, 0.232], [0.899, 0.433, 0.768], [0.433, 0.899, 0.768], [0.899, 0.899, 0.768], [0.567, 0.101, 0.232], [0.101, 0.101, 0.232], [0.000, 0.000, 0.000], [0.500, 0.500, 0.500]]
}

---

(3)
{
  "formula": "Sc2Be3ZnPt4",
  "functional": "PBE",
  "state": "relaxed",
  "spacegroup": "P-4m2 (115)",
  "delta_e_f_ev_per_atom": -0.81,
  "n_ef_per_ev_fu": 3.97,
  "lattice_angstrom": [[3.900, 0.000, 0.000], [0.000, 3.900, 0.000], [0.000, 0.000, 9.945]],
  "species": ["Sc", "Sc", "Pt", "Pt", "Pt", "Pt", "Be", "Be", "Be", "Zn"],
  "frac_coords": [[0.500, 0.000, 0.238], [0.000, 0.500, 0.762], [0.000, 0.500, 0.344], [0.000, 0.000, 0.000], [0.500, 0.000, 0.656], [0.500, 0.500, 0.000], [0.000, 0.000, 0.500], [0.500, 0.000, 0.879], [0.000, 0.500, 0.121], [0.500, 0.500, 0.500]]
}

---

(4)
{
  "formula": "BaAgPb2",
  "functional": "PBE",
  "state": "relaxed",
  "spacegroup": "Pm (6)",
  "relative_energy_ev_per_fu": 0.64,
  "delta_e_f_ev_per_atom": -0.17,
  "n_ef_per_ev_fu": 1.47,
  "lattice_angstrom": [[5.282, 0.000, 0.000], [0.000, 3.873, -0.029], [0.000, 0.410, 6.437]],
  "species": ["Pb", "Pb", "Ag", "Ba"],
  "frac_coords": [[0.500, 0.350, 0.252], [0.000, 0.129, 0.008], [0.000, 0.263, 0.509], [0.500, 0.758, 0.731]]
}

---

(5)
{
  "formula": "U2CoS",
  "functional": "PBE",
  "state": "relaxed",
  "spacegroup": "R-3m (166)",
  "formation_energy_uncorrected_mev_per_atom": -520,
  "n_ef_per_ev_fu": 9.30,
  "lattice_angstrom": [[3.740, 0.000, 0.000], [1.870, 3.239, 0.000], [1.870, 1.080, 6.573]],
  "species": ["U", "U", "Co", "S"],
  "frac_coords": [[0.244, 0.244, 0.267], [0.756, 0.756, 0.733], [0.500, 0.500, 0.500], [0.000, 0.000, 0.000]]
}